Entry 1:
Material: Mn2TlPb
Method: DFT, GGA-PBEsol
State: optimized geometry

a b c (Å): 6.328 7.780 3.140
angles (deg): 90.00 90.00 90.00
Space group Cmmm (No. 65)
Symmetry-distinct sites (fractional):
1 Mn 0.250 0.250 0.000 (multiplicity 4)
2 Tl 0.000 0.000 0.500 (multiplicity 2)
3 Pb 0.000 0.500 0.500 (multiplicity 2)

**Calculated volume**: 154.6 Å³ per cell
**Electronic total energy**: -0.43490 Ry per atom

***

Entry 2:
Material: SrAl3Cr
Method: DFT, GGA-PBEsol
State: optimized geometry

a b c (Å): 4.730 4.730 4.730
angles (deg): 90.00 90.00 90.00
Space group Pm-3m (No. 221)
Symmetry-distinct sites (fractional):
1 Sr 0.000 0.000 0.000 (multiplicity 1)
2 Al 0.000 0.500 0.500 (multiplicity 3)
3 Cr 0.500 0.500 0.500 (multiplicity 1)

**Calculated volume**: 105.8 Å³ per cell
**Electronic total energy**: -0.35668 Ry per atom

***

Entry 3:
Material: CuAu
Method: DFT, GGA-PBEsol
State: optimized geometry

a b c (Å): 2.710 9.954 4.363
angles (deg): 90.00 90.00 90.00
Space group Cmcm (No. 63)
Symmetry-distinct sites (fractional):
1 Cu 0.000 0.156 0.250 (multiplicity 4)
2 Au 0.000 0.411 0.250 (multiplicity 4)

**Calculated volume**: 117.7 Å³ per cell
**Electronic total energy**: -0.29988 Ry per atom

***

Entry 4:
Material: YTa2Au
Method: DFT, GGA-PBEsol
State: optimized geometry

a b c (Å): 5.617 10.023 2.943
angles (deg): 90.00 111.59 90.00
Space group C2/m (No. 12)
Symmetry-distinct sites (fractional):
1 Y 0.000 0.000 0.000 (multiplicity 2)
2 Ta 0.250 0.250 0.500 (multiplicity 4)
3 Au 0.000 0.500 0.000 (multiplicity 2)

**Calculated volume**: 154.1 Å³ per cell
**Electronic total energy**: -0.64498 Ry per atom